No. 1
Density functional theory data (GGA-PBE) for crystalline Tb5Sm8Tm at its relaxed geometry.

Unit cell a=12.861 b=11.252 c=9.020 alpha=90.00 beta=133.65 gamma=90.00
Space group C2 (No. 5)
Asymmetric unit:
Tb 0.000 0.000 0.000 (multiplicity 2)
Tb 0.177 0.501 0.963 (multiplicity 4)
Tb 0.201 0.698 0.270 (multiplicity 4)
Sm 0.065 0.224 0.783 (multiplicity 4)
Sm 0.066 0.778 0.789 (multiplicity 4)
Sm 0.155 0.499 0.546 (multiplicity 4)
Sm 0.203 0.302 0.273 (multiplicity 4)
Tm 0.000 0.001 0.500 (multiplicity 2)

Calculated values
total energy = -4.49 eV per atom
N(E_F) = 21.44 states/eV/f.u.
spin magnetization = 0.00 μB per formula unit
formation energy from the elements = 0.17 eV/atom

---

No. 2
Density functional theory data (GGA-PBE) for crystalline TbSm2Tm8 at its relaxed geometry.

Unit cell a=16.378 b=6.549 c=6.589 alpha=90.00 beta=100.16 gamma=90.00
Space group C2/m (No. 12)
Asymmetric unit:
Tb 0.000 0.000 0.000 (multiplicity 2)
Sm 0.244 0.000 0.310 (multiplicity 4)
Tm 0.087 0.261 0.403 (multiplicity 8)
Tm 0.088 0.500 0.904 (multiplicity 4)
Tm 0.201 0.000 0.801 (multiplicity 4)

Calculated values
excess energy over the best structure of this formula in the dataset = 153.3 meV per atom
total energy = -4.35 eV per atom
N(E_F) = 16.62 states/eV/f.u.
spin magnetization = 0.00 μB per formula unit
formation energy from the elements = 0.18 eV/atom

---

No. 3
Density functional theory data (GGA-PBE) for crystalline Tb12SmTm5 at its relaxed geometry.

Unit cell a=15.013 b=15.044 c=5.010 alpha=90.00 beta=90.00 gamma=90.00
Space group Cmmm (No. 65)
Asymmetric unit:
Tb 0.165 0.000 0.000 (multiplicity 4)
Tb 0.165 0.166 0.500 (multiplicity 8)
Tb 0.167 0.333 0.000 (multiplicity 8)
Tb 0.167 0.500 0.500 (multiplicity 4)
Sm 0.000 0.500 0.000 (multiplicity 2)
Tm 0.000 0.000 0.500 (multiplicity 2)
Tm 0.000 0.167 0.000 (multiplicity 4)
Tm 0.000 0.332 0.500 (multiplicity 4)

Calculated values
total energy = -4.57 eV per atom
N(E_F) = 24.72 states/eV/f.u.
spin magnetization = 0.00 μB per formula unit
formation energy from the elements = 0.02 eV/atom

---

No. 4
Density functional theory data (GGA-PBE) for crystalline Tb7Sm3Tm2 at its relaxed geometry.

Unit cell a=6.4979 b=6.4979 c=33.7316 alpha=90.00 beta=90.00 gamma=120.00
Space group R-3m (No. 166, hexagonal axes)
Asymmetric unit:
Tb 0.0000 0.0000 0.0000 (multiplicity 3)
Tb 0.0018 0.5009 0.4163 (multiplicity 18)
Sm 0.0000 0.0000 0.3453 (multiplicity 6)
Sm 0.0000 0.0000 0.5000 (multiplicity 3)
Tm 0.0000 0.0000 0.1666 (multiplicity 6)

Calculated values
excess energy over the best structure of this formula in the dataset = 204.5 meV per atom
total energy = -4.33 eV per atom
N(E_F) = 19.75 states/eV/f.u.
spin magnetization = 0.00 μB per formula unit
formation energy from the elements = 0.29 eV/atom

---

No. 5
Density functional theory data (GGA-PBE) for crystalline Tb11Sm4Tm9 at its relaxed geometry.

Unit cell a=16.624 b=25.038 c=3.660 alpha=90.00 beta=90.00 gamma=90.00
Space group Cmmm (No. 65)
Asymmetric unit:
Tb 0.000 0.000 0.000 (multiplicity 2)
Tb 0.000 0.159 0.000 (multiplicity 4)
Tb 0.000 0.366 0.000 (multiplicity 4)
Tb 0.210 0.500 0.000 (multiplicity 4)
Tb 0.226 0.181 0.000 (multiplicity 8)
Sm 0.155 0.399 0.500 (multiplicity 8)
Tm 0.000 0.500 0.500 (multiplicity 2)
Tm 0.102 0.265 0.500 (multiplicity 8)
Tm 0.140 0.073 0.500 (multiplicity 8)

Calculated values
total energy = -4.53 eV per atom
N(E_F) = 29.54 states/eV/f.u.
spin magnetization = 0.00 μB per formula unit
formation energy from the elements = 0.06 eV/atom

---

No. 6
Density functional theory data (GGA-PBE) for crystalline Tb12Sm7Tm at its relaxed geometry.

Unit cell a=11.320 b=11.320 c=11.320 alpha=90.00 beta=90.00 gamma=90.00
Space group Im-3m (No. 229)
Asymmetric unit:
Tb 0.000 0.247 0.247 (multiplicity 24)
Sm 0.000 0.000 0.500 (multiplicity 6)
Sm 0.250 0.250 0.250 (multiplicity 8)
Tm 0.000 0.000 0.000 (multiplicity 2)

Calculated values
excess energy over the best structure of this formula in the dataset = 420.0 meV per atom
total energy = -4.00 eV per atom
N(E_F) = 24.82 states/eV/f.u.
spin magnetization = 0.00 μB per formula unit
formation energy from the elements = 0.66 eV/atom

---

No. 7
Density functional theory data (GGA-PBE) for crystalline Tb2SmTm at its relaxed geometry.

Unit cell a=3.5807 b=3.5807 c=34.5367 alpha=90.00 beta=90.00 gamma=120.00
Space group R3m (No. 160, hexagonal axes)
Asymmetric unit:
Tb 0.0000 0.0000 0.0000 (multiplicity 3)
Tb 0.0000 0.0000 0.1693 (multiplicity 3)
Sm 0.0000 0.0000 0.4184 (multiplicity 3)
Tm 0.0000 0.0000 0.5846 (multiplicity 3)

Calculated values
excess energy over the best structure of this formula in the dataset = 2.8 meV per atom
total energy = -4.60 eV per atom
N(E_F) = 5.72 states/eV/f.u.
spin magnetization = 0.00 μB per formula unit
formation energy from the elements = 0.01 eV/atom

---

No. 8
Density functional theory data (GGA-PBE) for crystalline TbSm7Tm2 at its relaxed geometry.

Unit cell a=8.816 b=16.290 c=5.636 alpha=90.00 beta=90.00 gamma=90.00
Space group Cmmm (No. 65)
Asymmetric unit:
Tb 0.000 0.000 0.000 (multiplicity 2)
Sm 0.000 0.218 0.000 (multiplicity 4)
Sm 0.000 0.500 0.500 (multiplicity 2)
Sm 0.178 0.114 0.500 (multiplicity 8)
Tm 0.000 0.295 0.500 (multiplicity 4)

Calculated values
excess energy over the best structure of this formula in the dataset = 618.5 meV per atom
total energy = -4.00 eV per atom
N(E_F) = 14.75 states/eV/f.u.
spin magnetization = 0.00 μB per formula unit
formation energy from the elements = 0.66 eV/atom

---

No. 9
Density functional theory data (GGA-PBE) for crystalline Tb7Sm3Tm2 at its relaxed geometry.

Unit cell a=5.828 b=3.561 c=18.756 alpha=90.00 beta=93.11 gamma=90.00
Space group P2/m (No. 10)
Asymmetric unit:
Tb 0.000 0.000 0.000 (multiplicity 1)
Tb 0.189 0.500 0.179 (multiplicity 2)
Tb 0.257 0.500 0.537 (multiplicity 2)
Tb 0.313 0.000 0.856 (multiplicity 2)
Sm 0.219 0.000 0.366 (multiplicity 2)
Sm 0.500 0.500 0.000 (multiplicity 1)
Tm 0.291 0.500 0.706 (multiplicity 2)

Calculated values
excess energy over the best structure of this formula in the dataset = 0.0 meV per atom
total energy = -4.54 eV per atom
N(E_F) = 15.28 states/eV/f.u.
spin magnetization = 0.00 μB per formula unit
formation energy from the elements = 0.09 eV/atom

---

No. 10
Density functional theory data (GGA-PBE) for crystalline Tb12SmTm3 at its relaxed geometry.

Unit cell a=5.022 b=5.022 c=20.071 alpha=90.00 beta=90.00 gamma=90.00
Space group P4/mmm (No. 123)
Asymmetric unit:
Tb 0.000 0.000 0.000 (multiplicity 1)
Tb 0.000 0.000 0.248 (multiplicity 2)
Tb 0.000 0.000 0.500 (multiplicity 1)
Tb 0.000 0.500 0.124 (multiplicity 4)
Tb 0.000 0.500 0.373 (multiplicity 4)
Sm 0.500 0.500 0.500 (multiplicity 1)
Tm 0.500 0.500 0.000 (multiplicity 1)
Tm 0.500 0.500 0.249 (multiplicity 2)

Calculated values
total energy = -4.59 eV per atom
N(E_F) = 21.52 states/eV/f.u.
spin magnetization = 0.00 μB per formula unit
formation energy from the elements = 0.02 eV/atom

---

No. 11
Density functional theory data (GGA-PBE) for crystalline Tb5Sm7Tm at its relaxed geometry.

Unit cell a=6.711 b=11.274 c=11.665 alpha=90.00 beta=90.00 gamma=90.00
Space group Imm2 (No. 44)
Asymmetric unit:
Tb 0.000 0.000 0.000 (multiplicity 2)
Tb 0.231 0.272 0.506 (multiplicity 8)
Sm 0.000 0.000 0.500 (multiplicity 2)
Sm 0.000 0.171 0.252 (multiplicity 4)
Sm 0.000 0.174 0.754 (multiplicity 4)
Sm 0.000 0.500 0.309 (multiplicity 2)
Sm 0.000 0.500 0.999 (multiplicity 2)
Tm 0.000 0.500 0.689 (multiplicity 2)

Calculated values
total energy = -4.42 eV per atom
N(E_F) = 21.77 states/eV/f.u.
spin magnetization = 0.00 μB per formula unit
formation energy from the elements = 0.24 eV/atom

---

No. 12
Density functional theory data (GGA-PBE) for crystalline TbSm6Tm3 at its relaxed geometry.

Unit cell a=10.999 b=19.174 c=6.233 alpha=90.00 beta=90.00 gamma=90.00
Space group Cmc2_1 (No. 36)
Asymmetric unit:
Tb 0.000 0.200 0.000 (multiplicity 4)
Sm 0.000 0.041 0.786 (multiplicity 4)
Sm 0.000 0.279 0.523 (multiplicity 4)
Sm 0.167 0.457 0.419 (multiplicity 8)
Sm 0.236 0.290 0.237 (multiplicity 8)
Tm 0.000 0.387 0.953 (multiplicity 4)
Tm 0.168 0.112 0.341 (multiplicity 8)

Calculated values
excess energy over the best structure of this formula in the dataset = 19.2 meV per atom
total energy = -4.49 eV per atom
N(E_F) = 13.58 states/eV/f.u.
spin magnetization = 0.00 μB per formula unit
formation energy from the elements = 0.15 eV/atom

---

No. 13
Density functional theory data (GGA-PBE) for crystalline Tb2Sm2Tm7 at its relaxed geometry.

Unit cell a=11.109 b=11.460 c=6.016 alpha=90.00 beta=113.85 gamma=90.00
Space group C2/m (No. 12)
Asymmetric unit:
Tb 0.000 0.212 0.000 (multiplicity 4)
Sm 0.095 0.500 0.308 (multiplicity 4)
Tm 0.000 0.000 0.500 (multiplicity 2)
Tm 0.173 0.238 0.678 (multiplicity 8)
Tm 0.231 0.000 0.078 (multiplicity 4)

Calculated values
total energy = -4.39 eV per atom
N(E_F) = 17.47 states/eV/f.u.
spin magnetization = 0.00 μB per formula unit
formation energy from the elements = 0.16 eV/atom

---

No. 14
Density functional theory data (GGA-PBE) for crystalline TbSm4Tm8 at its relaxed geometry.

Unit cell a=7.723 b=7.723 c=7.723 alpha=90.00 beta=90.00 gamma=90.00
Space group Pm-3m (No. 221)
Asymmetric unit:
Tb 0.000 0.000 0.000 (multiplicity 1)
Sm 0.000 0.000 0.500 (multiplicity 3)
Sm 0.500 0.500 0.500 (multiplicity 1)
Tm 0.260 0.260 0.260 (multiplicity 8)

Calculated values
total energy = -4.04 eV per atom
N(E_F) = 20.84 states/eV/f.u.
spin magnetization = 1.15 μB per formula unit
formation energy from the elements = 0.52 eV/atom

---

No. 15
Density functional theory data (GGA-PBE) for crystalline TbSm3Tm4 at its relaxed geometry.

Unit cell a=12.057 b=12.906 c=3.453 alpha=90.00 beta=106.54 gamma=90.00
Space group C2/m (No. 12)
Asymmetric unit:
Tb 0.000 0.000 0.000 (multiplicity 2)
Sm 0.000 0.244 0.500 (multiplicity 4)
Sm 0.000 0.500 0.000 (multiplicity 2)
Tm 0.246 0.135 0.247 (multiplicity 8)

Calculated values
excess energy over the best structure of this formula in the dataset = 124.3 meV per atom
total energy = -4.44 eV per atom
N(E_F) = 13.03 states/eV/f.u.
spin magnetization = 0.00 μB per formula unit
formation energy from the elements = 0.14 eV/atom

---

No. 16
Density functional theory data (GGA-PBE) for crystalline Tb2Sm3Tm3 at its relaxed geometry.

Unit cell a=16.109 b=5.699 c=6.010 alpha=90.00 beta=110.71 gamma=90.00
Space group C2/m (No. 12)
Asymmetric unit:
Tb 0.250 0.000 0.182 (multiplicity 4)
Sm 0.000 0.500 0.500 (multiplicity 2)
Sm 0.134 0.500 0.197 (multiplicity 4)
Tm 0.000 0.000 0.000 (multiplicity 2)
Tm 0.131 0.000 0.579 (multiplicity 4)

Calculated values
excess energy over the best structure of this formula in the dataset = 74.0 meV per atom
total energy = -4.51 eV per atom
N(E_F) = 14.16 states/eV/f.u.
spin magnetization = 0.00 μB per formula unit
formation energy from the elements = 0.10 eV/atom

---

No. 17
Density functional theory data (GGA-PBE) for crystalline Tb5SmTm6 at its relaxed geometry.

Unit cell a=5.721 b=7.434 c=17.734 alpha=90.00 beta=90.00 gamma=90.00
Space group Immm (No. 71)
Asymmetric unit:
Tb 0.000 0.000 0.000 (multiplicity 2)
Tb 0.000 0.000 0.347 (multiplicity 4)
Tb 0.000 0.500 0.347 (multiplicity 4)
Sm 0.000 0.500 0.000 (multiplicity 2)
Tm 0.000 0.250 0.181 (multiplicity 8)
Tm 0.000 0.250 0.500 (multiplicity 4)

Calculated values
excess energy over the best structure of this formula in the dataset = 88.5 meV per atom
total energy = -4.45 eV per atom
N(E_F) = 20.05 states/eV/f.u.
spin magnetization = 0.00 μB per formula unit
formation energy from the elements = 0.11 eV/atom

---

No. 18
Density functional theory data (GGA-PBE) for crystalline TbSm8Tm2 at its relaxed geometry.

Unit cell a=16.723 b=6.723 c=6.665 alpha=90.00 beta=100.08 gamma=90.00
Space group C2/m (No. 12)
Asymmetric unit:
Tb 0.000 0.000 0.000 (multiplicity 2)
Sm 0.088 0.262 0.406 (multiplicity 8)
Sm 0.093 0.500 0.911 (multiplicity 4)
Sm 0.245 0.000 0.318 (multiplicity 4)
Tm 0.200 0.000 0.805 (multiplicity 4)

Calculated values
excess energy over the best structure of this formula in the dataset = 0.0 meV per atom
total energy = -4.49 eV per atom
N(E_F) = 17.85 states/eV/f.u.
spin magnetization = 0.00 μB per formula unit
formation energy from the elements = 0.18 eV/atom

---

No. 19
Density functional theory data (GGA-PBE) for crystalline Tb3SmTm6 at its relaxed geometry.

Unit cell a=6.458 b=6.462 c=9.424 alpha=90.14 beta=109.59 gamma=119.78
Space group P-1 (No. 2)
Asymmetric unit:
Tb 0.000 0.000 0.000 (multiplicity 1)
Tb 0.301 0.440 0.308 (multiplicity 2)
Sm 0.000 0.500 0.500 (multiplicity 1)
Tm 0.130 0.134 0.689 (multiplicity 2)
Tm 0.304 0.652 0.951 (multiplicity 2)
Tm 0.444 0.006 0.311 (multiplicity 2)

Calculated values
excess energy over the best structure of this formula in the dataset = 36.9 meV per atom
total energy = -4.36 eV per atom
N(E_F) = 12.82 states/eV/f.u.
spin magnetization = 0.00 μB per formula unit
formation energy from the elements = 0.18 eV/atom

---

No. 20
Density functional theory data (GGA-PBE) for crystalline TbSm6Tm at its relaxed geometry.

Unit cell a=5.093 b=5.093 c=10.181 alpha=90.00 beta=90.00 gamma=90.00
Space group P4/mmm (No. 123)
Asymmetric unit:
Tb 0.000 0.000 0.000 (multiplicity 1)
Sm 0.000 0.500 0.251 (multiplicity 4)
Sm 0.500 0.500 0.000 (multiplicity 1)
Sm 0.500 0.500 0.500 (multiplicity 1)
Tm 0.000 0.000 0.500 (multiplicity 1)

Calculated values
total energy = -4.66 eV per atom
N(E_F) = 12.67 states/eV/f.u.
spin magnetization = 0.00 μB per formula unit
formation energy from the elements = 0.02 eV/atom